# 1
Sm3Sb5O12: optimized geometry, GGA-PBEsol.

Results
ΔE_f (raw) = -2.23 eV per atom

Geometry as extended XYZ:
```
40
Lattice="-5.427 5.427 5.427 5.427 -5.427 5.427 5.427 5.427 -5.427" Properties=species:S:1:pos:R:3 pbc="T T T"
Sm 5.427 2.713 0.000
Sm 5.427 0.000 2.713
Sm 2.713 5.427 0.000
Sm 2.713 0.000 5.427
Sm 0.000 5.427 2.713
Sm 0.000 2.713 5.427
Sb 2.789 2.789 -2.789
Sb 3.015 0.000 0.000
Sb 2.789 -2.789 2.789
Sb 7.838 0.000 0.000
Sb 0.000 3.015 0.000
Sb 0.000 0.000 3.015
Sb 2.637 2.637 2.637
Sb -2.789 2.789 2.789
Sb 0.000 7.838 0.000
Sb 0.000 0.000 7.838
O 3.663 1.495 -1.495
O 3.663 -1.495 1.495
O 6.615 1.097 -1.097
O 6.615 -1.097 1.097
O 1.495 3.663 -1.495
O 1.495 -1.495 3.663
O 4.239 1.097 1.097
O 7.190 1.495 1.495
O 4.330 4.330 -1.188
O 4.330 -1.188 4.330
O -1.495 3.663 1.495
O -1.495 1.495 3.663
O 1.097 4.239 1.097
O 1.097 1.097 4.239
O 1.097 6.615 -1.097
O 1.097 -1.097 6.615
O 3.932 3.932 1.763
O 3.932 1.763 3.932
O -1.097 6.615 1.097
O -1.097 1.097 6.615
O 1.763 3.932 3.932
O -1.188 4.330 4.330
O 1.495 7.190 1.495
O 1.495 1.495 7.190
```

=====

# 2
ScTa2Re: optimized geometry, GGA-PBEsol.

Results
DFT formation energy = 0.22 eV per atom

Geometry as extended XYZ:
```
4
Lattice="-1.937 1.937 4.619 1.937 -1.937 4.619 1.937 1.937 -4.619" Properties=species:S:1:pos:R:3 pbc="T T T"
Sc 0.000 0.000 0.000
Ta 0.000 0.000 4.619
Ta 0.000 1.937 2.310
Re 1.937 0.000 2.310
```

=====

# 3
Cu3MoS: optimized geometry, GGA-PBEsol.

Results
ΔE_f (raw) = 1.85 eV per atom
Energy above the most stable polymorph in this dataset = 89.17 kJ per mole of atoms

Geometry as extended XYZ:
```
5
Lattice="4.590 0.000 0.000 0.000 4.590 0.000 0.000 0.000 4.590" Properties=species:S:1:pos:R:3 pbc="T T T"
Cu 0.000 0.000 2.295
Cu 0.000 2.295 0.000
Cu 2.295 0.000 0.000
Mo 0.000 0.000 0.000
S 2.295 2.295 2.295
```

=====

no.,VASP energy (hartree per atom),V (Å³ per cell)
1,-0.2676,639
2,-0.4058,69
3,-0.1464,97